Record 1
The following is a GGA-PBE calculation of a geometry-optimized TcPb4O6 structure, from Alexandria via LeMat-Bulk.

Cell: 11.8026 7.1950 11.0435 Å, 90.00 107.14 90.00°
Space group Cc (No. 9)
Asymmetric unit:
Tc: 0.0000 0.2405 0.0000 [4 per cell]
Pb: 0.0504 0.1021 0.7674 [4 per cell]
Pb: 0.1987 0.3909 0.2709 [4 per cell]
Pb: 0.2533 0.1087 0.5817 [4 per cell]
Pb: 0.4308 0.1915 0.9358 [4 per cell]
O: 0.0417 0.4673 0.0954 [4 per cell]
O: 0.1004 0.2036 0.3897 [4 per cell]
O: 0.1428 0.1406 0.1164 [4 per cell]
O: 0.2246 0.2307 0.7594 [4 per cell]
O: 0.3902 0.4214 0.5087 [4 per cell]
O: 0.4377 0.1114 0.3529 [4 per cell]

## Properties
The value obtained for the uncorrected formation energy is -1.0312 eV/atom.

=====

Record 2
The following is a GGA-PBE calculation of a geometry-optimized Tc2PbO structure, from Alexandria via LeMat-Bulk.

Cell: 6.3214 6.3214 6.3214 Å, 90.00 90.00 90.00°
Space group Fm-3m (No. 225)
Asymmetric unit:
Tc: 0.2500 0.2500 0.2500 [8 per cell]
Pb: 0.0000 0.0000 0.0000 [4 per cell]
O: 0.0000 0.0000 0.5000 [4 per cell]

## Properties
The value obtained for the uncorrected formation energy is 0.9857 eV/atom. The calculation puts the energy above the most stable polymorph in this dataset at 632 meV/atom. The density of states at the Fermi level is 1.41 states/eV/atom.

=====

Record 3
The following is a GGA-PBE calculation of a geometry-optimized TcPbO2 structure, from Alexandria via LeMat-Bulk.

Cell: 4.8964 4.8964 11.2972 Å, 90.00 90.00 90.00°
Space group I-42d (No. 122)
Asymmetric unit:
Tc: 0.0000 0.0000 0.0000 [4 per cell]
Pb: 0.0000 0.0000 0.5000 [4 per cell]
O: 0.1224 0.2500 0.1250 [8 per cell]

## Properties
The value obtained for the uncorrected formation energy is -0.5648 eV/atom. The density of states at the Fermi level is 0.46 states/eV/atom.

=====

| no. | total moment (μB per formula unit) |
| --- | --- |
| 1 | 0.973 |
| 2 | 2.807 |
| 3 | 0.000 |